(1)
TbTlAgAu | GGA-PBE | relaxed

The magnetic moment is 0.000 μB per atom. As for the energy relative to the elements: -0.401 eV/atom.

Structure (CIF):
```
data_TbTlAgAu
_symmetry_space_group_name_H-M 'F -4 3 m'
_symmetry_Int_Tables_number 216
_symmetry_space_group_name_Hall 'F -4 2 3'
_cell_length_a 7.074
_cell_length_b 7.074
_cell_length_c 7.074
_cell_angle_alpha 90.00
_cell_angle_beta 90.00
_cell_angle_gamma 90.00
loop_
_atom_site_label
_atom_site_fract_x
_atom_site_fract_y
_atom_site_fract_z
_atom_site_occupancy
Tb1 0.000 0.000 0.000 1
Tl1 0.000 0.000 0.500 1
Ag1 0.250 0.250 0.250 1
Au1 0.250 0.250 0.750 1
```


(2)
TbTmAgAu | GGA-PBE | relaxed

The energy above the lowest structure with this stoichiometry comes out at 0.0 meV/atom. The magnetic moment is 0.000 μB per atom. As for the energy relative to the elements: -0.604 eV/atom.

Structure (CIF):
```
data_TbTmAgAu
_symmetry_space_group_name_H-M 'P 4 m m'
_symmetry_Int_Tables_number 99
_cell_length_a 3.577
_cell_length_b 3.577
_cell_length_c 7.285
_cell_angle_alpha 90.00
_cell_angle_beta 90.00
_cell_angle_gamma 90.00
loop_
_symmetry_equiv_pos_as_xyz
'x,y,z'
'-y,x,z'
'-x,-y,z'
'y,-x,z'
'-x,y,z'
'y,x,z'
'x,-y,z'
'-y,-x,z'
loop_
_atom_site_label
_atom_site_fract_x
_atom_site_fract_y
_atom_site_fract_z
_atom_site_occupancy
Tb1 0.000 0.000 0.000 1
Tm1 0.000 0.000 0.511 1
Ag1 0.500 0.500 0.266 1
Au1 0.500 0.500 0.744 1
```


(3)
TbTmAgAu | GGA-PBE | relaxed

The energy above the lowest structure with this stoichiometry comes out at 7.7 meV/atom. The magnetic moment is 0.000 μB per atom. As for the energy relative to the elements: -0.596 eV/atom.

Structure (CIF):
```
data_TbTmAgAu
_symmetry_space_group_name_H-M 'F -4 3 m'
_symmetry_Int_Tables_number 216
_symmetry_space_group_name_Hall 'F -4 2 3'
_cell_length_a 7.197
_cell_length_b 7.197
_cell_length_c 7.197
_cell_angle_alpha 90.00
_cell_angle_beta 90.00
_cell_angle_gamma 90.00
loop_
_atom_site_label
_atom_site_fract_x
_atom_site_fract_y
_atom_site_fract_z
_atom_site_occupancy
Tb1 0.000 0.000 0.000 1
Tm1 0.000 0.000 0.500 1
Ag1 0.250 0.250 0.250 1
Au1 0.250 0.250 0.750 1
```


(4)
Tc2AgAu | GGA-PBE | relaxed

The energy above the lowest structure with this stoichiometry comes out at 169.6 meV/atom. The magnetic moment is 0.000 μB per atom. As for the energy relative to the elements: 0.299 eV/atom.

Structure (CIF):
```
data_Tc2AgAu
_symmetry_space_group_name_H-M 'C m m 2'
_symmetry_Int_Tables_number 35
_cell_length_a 2.913
_cell_length_b 4.650
_cell_length_c 9.719
_cell_angle_alpha 90.00
_cell_angle_beta 90.00
_cell_angle_gamma 90.00
loop_
_symmetry_equiv_pos_as_xyz
'x,y,z'
'-x,-y,z'
'-x,y,z'
'x,-y,z'
'x+1/2,y+1/2,z'
'-x+1/2,-y+1/2,z'
'-x+1/2,y+1/2,z'
'x+1/2,-y+1/2,z'
loop_
_atom_site_label
_atom_site_fract_x
_atom_site_fract_y
_atom_site_fract_z
_atom_site_occupancy
Tc1 0.000 0.000 0.000 1
Tc2 0.000 0.500 0.216 1
Ag1 0.000 0.500 0.741 1
Au1 0.000 0.000 0.477 1
```


(5)
TcAgAu2 | GGA-PBE | relaxed

The energy above the lowest structure with this stoichiometry comes out at 183.1 meV/atom. The magnetic moment is 0.634 μB per atom. As for the energy relative to the elements: 0.406 eV/atom.

Structure (CIF):
```
data_TcAgAu2
_symmetry_space_group_name_H-M 'I 4/m m m'
_symmetry_Int_Tables_number 139
_symmetry_space_group_name_Hall '-I 4 2'
_cell_length_a 4.395
_cell_length_b 4.395
_cell_length_c 7.241
_cell_angle_alpha 90.00
_cell_angle_beta 90.00
_cell_angle_gamma 90.00
loop_
_atom_site_label
_atom_site_fract_x
_atom_site_fract_y
_atom_site_fract_z
_atom_site_occupancy
Tc1 0.000 0.000 0.000 1
Ag1 0.000 0.000 0.500 1
Au1 0.000 0.500 0.250 1
```


(6)
Tc2AgAu | GGA-PBE | relaxed

The energy above the lowest structure with this stoichiometry comes out at 181.2 meV/atom. The magnetic moment is 0.000 μB per atom. As for the energy relative to the elements: 0.311 eV/atom.

Structure (CIF):
```
data_Tc2AgAu
_symmetry_space_group_name_H-M 'P 1 m 1'
_symmetry_Int_Tables_number 6
_cell_length_a 2.868
_cell_length_b 3.853
_cell_length_c 5.926
_cell_angle_alpha 90.00
_cell_angle_beta 92.00
_cell_angle_gamma 90.00
loop_
_symmetry_equiv_pos_as_xyz
'x,y,z'
'x,-y,z'
loop_
_atom_site_label
_atom_site_fract_x
_atom_site_fract_y
_atom_site_fract_z
_atom_site_occupancy
Tc1 0.000 0.000 0.000 1
Tc2 0.410 0.500 0.185 1
Ag1 0.942 0.000 0.467 1
Au1 0.458 0.500 0.720 1
```


(7)
Tc2AgAu | GGA-PBE | relaxed

The energy above the lowest structure with this stoichiometry comes out at 488.4 meV/atom. The magnetic moment is 0.000 μB per atom. As for the energy relative to the elements: 0.618 eV/atom.

Structure (CIF):
```
data_Tc2AgAu
_symmetry_space_group_name_H-M 'F -4 3 m'
_symmetry_Int_Tables_number 216
_symmetry_space_group_name_Hall 'F -4 2 3'
_cell_length_a 6.379
_cell_length_b 6.379
_cell_length_c 6.379
_cell_angle_alpha 90.00
_cell_angle_beta 90.00
_cell_angle_gamma 90.00
loop_
_atom_site_label
_atom_site_fract_x
_atom_site_fract_y
_atom_site_fract_z
_atom_site_occupancy
Tc1 0.000 0.000 0.000 1
Tc2 0.250 0.250 0.250 1
Ag1 0.000 0.000 0.500 1
Au1 0.250 0.250 0.750 1
```


(8)
TcAgAu2 | GGA-PBE | relaxed

The energy above the lowest structure with this stoichiometry comes out at 0.0 meV/atom. The magnetic moment is 0.079 μB per atom. As for the energy relative to the elements: 0.222 eV/atom.

Structure (CIF):
```
data_TcAgAu2
_symmetry_space_group_name_H-M 'P 4/m m m'
_symmetry_Int_Tables_number 123
_symmetry_space_group_name_Hall '-P 4 2'
_cell_length_a 2.790
_cell_length_b 2.790
_cell_length_c 8.680
_cell_angle_alpha 90.00
_cell_angle_beta 90.00
_cell_angle_gamma 90.00
loop_
_atom_site_label
_atom_site_fract_x
_atom_site_fract_y
_atom_site_fract_z
_atom_site_occupancy
Tc1 0.000 0.000 0.000 1
Ag1 0.000 0.000 0.500 1
Au1 0.500 0.500 0.240 1
```


(9)
Tc2AgAu | GGA-PBE | relaxed

The energy above the lowest structure with this stoichiometry comes out at 408.5 meV/atom. The magnetic moment is 0.137 μB per atom. As for the energy relative to the elements: 0.538 eV/atom.

Structure (CIF):
```
data_Tc2AgAu
_symmetry_space_group_name_H-M 'R -3 m'
_symmetry_Int_Tables_number 166
_symmetry_space_group_name_Hall '-R 3 2"'
_cell_length_a 2.7878
_cell_length_b 2.7878
_cell_length_c 28.5909
_cell_angle_alpha 90.00
_cell_angle_beta 90.00
_cell_angle_gamma 120.00
loop_
_atom_site_label
_atom_site_fract_x
_atom_site_fract_y
_atom_site_fract_z
_atom_site_occupancy
Tc1 0.0000 0.0000 0.2492 1
Ag1 0.0000 0.0000 0.0000 1
Au1 0.0000 0.0000 0.5000 1
```


(10)
TcAgAu2 | GGA-PBE | relaxed

The energy above the lowest structure with this stoichiometry comes out at 41.4 meV/atom. The magnetic moment is 0.101 μB per atom. As for the energy relative to the elements: 0.264 eV/atom.

Structure (CIF):
```
data_TcAgAu2
_symmetry_space_group_name_H-M 'R -3 m'
_symmetry_Int_Tables_number 166
_symmetry_space_group_name_Hall '-R 3 2"'
_cell_length_a 2.8845
_cell_length_b 2.8845
_cell_length_c 28.2746
_cell_angle_alpha 90.00
_cell_angle_beta 90.00
_cell_angle_gamma 120.00
loop_
_atom_site_label
_atom_site_fract_x
_atom_site_fract_y
_atom_site_fract_z
_atom_site_occupancy
Tc1 0.0000 0.0000 0.0000 1
Ag1 0.0000 0.0000 0.5000 1
Au1 0.0000 0.0000 0.2528 1
```


(11)
Tc2AgAu | GGA-PBE | relaxed

The energy above the lowest structure with this stoichiometry comes out at 278.6 meV/atom. The magnetic moment is 0.000 μB per atom. As for the energy relative to the elements: 0.408 eV/atom.

Structure (CIF):
```
data_Tc2AgAu
_symmetry_space_group_name_H-M 'C 1 m 1'
_symmetry_Int_Tables_number 8
_cell_length_a 9.245
_cell_length_b 2.704
_cell_length_c 5.183
_cell_angle_alpha 90.00
_cell_angle_beta 96.37
_cell_angle_gamma 90.00
loop_
_symmetry_equiv_pos_as_xyz
'x,y,z'
'x,-y,z'
'x+1/2,y+1/2,z'
'x+1/2,-y+1/2,z'
loop_
_atom_site_label
_atom_site_fract_x
_atom_site_fract_y
_atom_site_fract_z
_atom_site_occupancy
Tc1 0.000 0.000 0.000 1
Tc2 0.241 0.000 0.810 1
Ag1 0.493 0.000 0.520 1
Au1 0.243 0.500 0.291 1
```


(12)
TcAgAu2 | GGA-PBE | relaxed

The energy above the lowest structure with this stoichiometry comes out at 94.6 meV/atom. The magnetic moment is 0.215 μB per atom. As for the energy relative to the elements: 0.317 eV/atom.

Structure (CIF):
```
data_TcAgAu2
_symmetry_space_group_name_H-M 'P 1 2/m 1'
_symmetry_Int_Tables_number 10
_cell_length_a 2.760
_cell_length_b 4.065
_cell_length_c 6.118
_cell_angle_alpha 90.00
_cell_angle_beta 90.14
_cell_angle_gamma 90.00
loop_
_symmetry_equiv_pos_as_xyz
'x,y,z'
'-x,-y,-z'
'-x,y,-z'
'x,-y,z'
loop_
_atom_site_label
_atom_site_fract_x
_atom_site_fract_y
_atom_site_fract_z
_atom_site_occupancy
Tc1 0.000 0.000 0.000 1
Ag1 0.000 0.000 0.500 1
Au1 0.499 0.500 0.764 1
```


| no. | volume (Å³ per cell) |
| --- | --- |
| 1 | 354.0 |
| 2 | 93.2 |
| 3 | 372.8 |
| 4 | 131.6 |
| 5 | 139.9 |
| 6 | 65.4 |
| 7 | 259.6 |
| 8 | 67.6 |
| 9 | 192.4 |
| 10 | 203.7 |
| 11 | 128.8 |
| 12 | 68.6 |